The following is a GGA-PBEsol calculation of a relaxed structure of LiInP, from the Alexandria database.

Summary:
Theoretical density, Mg/m³: 4.1
Calculated formation energy, eV/atom: -0.412
Energy, eV/cell: -23.96

extended XYZ file:
```
6
Lattice="4.048 0.000 0.000 -2.024 3.506 0.000 0.000 0.000 8.712" Properties=species:S:1:pos:R:3 pbc="T T T"
Li 0.000 2.337 0.800
Li 2.024 1.169 7.912
In 0.000 0.000 2.968
In 0.000 0.000 5.744
P 0.000 2.337 6.938
P 2.024 1.169 1.774
```

=====

The following is a GGA-PBEsol calculation of a relaxed structure of Li2InP, from the Alexandria database.

Summary:
Theoretical density, Mg/m³: 3.5
Calculated formation energy, eV/atom: -0.288
Energy, eV/cell: -27.72

extended XYZ file:
```
8
Lattice="3.052 0.000 0.000 0.000 4.123 0.000 0.000 0.000 12.064" Properties=species:S:1:pos:R:3 pbc="T T T"
Li 0.000 0.000 0.000
Li 0.000 2.061 2.093
Li 1.526 0.000 8.125
Li 1.526 2.061 6.032
In 0.000 0.000 4.312
In 1.526 2.061 10.345
P 0.000 2.061 8.081
P 1.526 0.000 2.049
```

=====

The following is a GGA-PBEsol calculation of a relaxed structure of Li3InP, from the Alexandria database.

Summary:
Theoretical density, Mg/m³: 2.7
Calculated formation energy, eV/atom: -0.261
Energy, eV/cell: -15.98

extended XYZ file:
```
5
Lattice="4.652 0.000 0.000 0.000 4.652 0.000 0.000 0.000 4.652" Properties=species:S:1:pos:R:3 pbc="T T T"
Li 0.000 0.000 2.326
Li 0.000 2.326 0.000
Li 2.326 0.000 0.000
In 2.326 2.326 2.326
P 0.000 0.000 0.000
```

=====

The following is a GGA-PBEsol calculation of a relaxed structure of Li4InP, from the Alexandria database.

Summary:
Theoretical density, Mg/m³: 2.9
Calculated formation energy, eV/atom: -0.037
Energy, eV/cell: -16.86

extended XYZ file:
```
6
Lattice="0.000 3.657 3.657 3.657 0.000 3.657 3.657 3.657 0.000" Properties=species:S:1:pos:R:3 pbc="T T T"
Li 0.918 0.918 0.918
Li 2.740 2.740 0.918
Li 2.740 0.918 2.740
Li 0.918 2.740 2.740
In 5.486 5.486 5.486
P 3.657 3.657 3.657
```

=====

The following is a GGA-PBEsol calculation of a relaxed structure of Li2InP, from the Alexandria database.

Summary:
Theoretical density, Mg/m³: 3.8
Calculated formation energy, eV/atom: -0.214
Energy, eV/cell: -40.69

extended XYZ file:
```
12
Lattice="3.028 0.000 0.000 -1.514 2.622 0.000 0.000 0.000 26.255" Properties=species:S:1:pos:R:3 pbc="T T T"
Li 0.000 0.000 6.217
Li 0.000 0.000 20.038
Li 0.000 1.748 11.286
Li 0.000 1.748 23.721
Li 1.514 0.874 2.535
Li 1.514 0.874 14.969
In 0.000 0.000 0.000
In 0.000 1.748 17.503
In 1.514 0.874 8.752
P 0.000 0.000 13.128
P 0.000 1.748 4.376
P 1.514 0.874 21.879
```

=====

The following is a GGA-PBEsol calculation of a relaxed structure of Li2InP, from the Alexandria database.

Summary:
Theoretical density, Mg/m³: 4.1
Calculated formation energy, eV/atom: -0.372
Energy, eV/cell: -14.20

extended XYZ file:
```
4
Lattice="4.021 0.000 0.000 0.000 4.021 0.000 0.000 0.000 3.991" Properties=species:S:1:pos:R:3 pbc="T T T"
Li 0.000 2.011 0.000
Li 2.011 0.000 0.000
In 0.000 0.000 1.996
P 2.011 2.011 1.996
```

=====

The following is a GGA-PBEsol calculation of a relaxed structure of Li2InP, from the Alexandria database.

Summary:
Theoretical density, Mg/m³: 3.9
Calculated formation energy, eV/atom: -0.309
Energy, eV/cell: -27.89

extended XYZ file:
```
8
Lattice="3.993 0.000 0.000 0.000 4.279 0.000 0.000 0.000 7.912" Properties=species:S:1:pos:R:3 pbc="T T T"
Li 0.000 0.000 1.558
Li 0.000 0.000 6.353
Li 1.997 2.140 1.558
Li 1.997 2.140 6.353
In 0.000 2.140 3.956
In 1.997 0.000 3.956
P 0.000 2.140 0.000
P 1.997 0.000 0.000
```

=====

The following is a GGA-PBEsol calculation of a relaxed structure of LiInP, from the Alexandria database.

Summary:
Theoretical density, Mg/m³: 4.3
Calculated formation energy, eV/atom: -0.081
Energy, eV/cell: -43.93

extended XYZ file:
```
12
Lattice="4.485 0.000 0.000 0.000 4.513 0.000 0.000 0.000 11.600" Properties=species:S:1:pos:R:3 pbc="T T T"
Li 0.000 0.000 0.000
Li 0.000 2.257 5.800
Li 2.243 0.000 5.800
Li 2.243 2.257 0.000
In 0.000 0.000 3.236
In 0.000 2.257 9.036
In 2.243 0.000 9.036
In 2.243 2.257 3.236
P 0.000 0.000 7.246
P 0.000 2.257 1.447
P 2.243 0.000 1.447
P 2.243 2.257 7.246
```

=====

The following is a GGA-PBEsol calculation of a relaxed structure of LiInP, from the Alexandria database.

Summary:
Theoretical density, Mg/m³: 4.7
Calculated formation energy, eV/atom: -0.139
Energy, eV/cell: -44.63

extended XYZ file:
```
12
Lattice="5.990 0.000 0.000 0.000 5.990 0.000 0.000 0.000 5.990" Properties=species:S:1:pos:R:3 pbc="T T T"
Li 0.000 0.000 0.000
Li 0.000 2.995 2.995
Li 2.995 0.000 2.995
Li 2.995 2.995 0.000
In 1.497 1.497 4.492
In 1.497 4.492 1.497
In 4.492 1.497 1.497
In 4.492 4.492 4.492
P 1.497 1.497 1.497
P 1.497 4.492 4.492
P 4.492 1.497 4.492
P 4.492 4.492 1.497
```

=====

The following is a GGA-PBEsol calculation of a relaxed structure of LiInReP2, from the Alexandria database.

Summary:
Theoretical density, Mg/m³: 6.0
Calculated formation energy, eV/atom: 1.751
Energy, eV/cell: -21.11

extended XYZ file:
```
5
Lattice="4.859 0.000 0.000 0.000 4.859 0.000 0.000 0.000 4.331" Properties=species:S:1:pos:R:3 pbc="T T T"
Li 0.000 0.000 0.000
In 0.000 0.000 2.166
Re 2.430 2.430 0.000
P 0.000 2.430 2.166
P 2.430 0.000 2.166
```

=====

The following is a GGA-PBEsol calculation of a relaxed structure of LiInPb2, from the Alexandria database.

Summary:
Theoretical density, Mg/m³: 9.0
Calculated formation energy, eV/atom: -0.120
Energy, eV/cell: -13.43

extended XYZ file:
```
4
Lattice="3.420 0.000 0.000 0.000 3.420 0.000 0.000 0.000 8.490" Properties=species:S:1:pos:R:3 pbc="T T T"
Li 0.000 0.000 0.000
In 1.710 1.710 6.753
Pb 0.000 0.000 4.447
Pb 1.710 1.710 1.889
```

=====

The following is a GGA-PBEsol calculation of a relaxed structure of LiInPb2, from the Alexandria database.

Summary:
Theoretical density, Mg/m³: 8.4
Calculated formation energy, eV/atom: -0.077
Energy, eV/cell: -26.51

extended XYZ file:
```
8
Lattice="6.645 0.000 0.000 0.000 10.609 0.000 -1.446 0.000 3.000" Properties=species:S:1:pos:R:3 pbc="T T T"
Li 0.000 0.000 0.000
Li 3.322 5.305 0.000
In 0.000 5.305 0.000
In 3.322 0.000 0.000
Pb 0.938 2.652 1.500
Pb 0.938 7.957 1.500
Pb 4.261 2.652 1.500
Pb 4.261 7.957 1.500
```